No. 1
Sr2TcAuN | PBE | relaxed

Computed properties:
Formation energy from raw total energies: -0.401 eV/atom
DFT total energy: -27.34 eV for the cell shown

abc: 5.425 5.425 3.869
angles: 90.00 90.00 90.00
Element x y z (fractional)
Sr1 0.000 0.500 0.000
Sr2 0.500 0.000 0.000
Au1 0.500 0.500 0.500
Tc1 0.000 0.000 0.500
N1 0.000 0.000 0.000


No. 2
Fe2HgB | PBE | relaxed

Computed properties:
Offset from the most stable computed form: 0 meV per atom
DFT total energy: -41.35 eV for the cell shown
Energy of formation: 0.81 eV per atom

abc: 4.569 4.569 7.057
angles: 71.11 71.11 90.00
Site moments in Bohr magnetons follow the coordinates.
Element x y z (fractional)
B1 0.500 0.500 0.000  -0.20
B2 0.250 0.750 0.500  -0.20
Hg1 0.000 0.000 0.000  0.01
Hg2 0.750 0.250 0.500  0.01
Fe1 0.297 0.125 0.250  2.29
Fe2 0.453 0.625 0.250  2.30
Fe3 0.375 0.703 0.750  2.26
Fe4 0.875 0.547 0.750  2.27


No. 3
Ba3Ga4Ag2 | PBE | relaxed

Computed properties:
Offset from the most stable computed form: 42 meV per atom
DFT total energy: -26.47 eV for the cell shown
Energy of formation: -0.32 eV per atom

abc: 4.536 6.565 10.715
angles: 62.44 77.83 69.70
Element x y z (fractional)
Ba1 0.615 0.162 0.613
Ba2 0.000 0.000 0.000
Ba3 0.385 0.838 0.387
Ga1 0.280 0.360 0.080
Ga2 0.888 0.554 0.670
Ga3 0.112 0.446 0.330
Ga4 0.720 0.640 0.920
Ag1 0.684 0.423 0.209
Ag2 0.316 0.577 0.791


No. 4
KNa5Li | PBE | relaxed

Computed properties:
Offset from the most stable computed form: 0 meV per atom
DFT total energy: -9.14 eV for the cell shown
Energy of formation: 0.07 eV per atom

abc: 5.019 5.019 11.742
angles: 90.00 90.00 90.00
Element x y z (fractional)
K1 0.000 0.000 0.500
Na1 0.000 0.500 0.214
Na2 0.000 0.500 0.786
Na3 0.500 0.000 0.214
Na4 0.500 0.000 0.786
Na5 0.000 0.000 0.000
Li1 0.500 0.500 0.000


No. 5
Rb4Pm3NpS8 | PBE | relaxed

Computed properties:
Formation energy from raw total energies: -1.708 eV/atom
DFT total energy: -91.41 eV for the cell shown

abc: 8.373 9.090 8.373
angles: 117.43 120.00 90.00
Site moments in Bohr magnetons follow the coordinates.
Element x y z (fractional)
Rb1 0.500 0.000 0.000  0.00
Rb2 0.500 0.000 0.500  0.00
Rb3 0.000 0.000 0.000  0.00
Rb4 0.000 0.000 0.500  0.00
Pm1 0.500 0.500 0.000  0.03
Pm2 0.500 0.500 0.500  0.03
Pm3 0.000 0.500 0.500  0.03
Np1 0.000 0.500 0.000  3.81
S1 0.230 0.694 0.964  -0.02
S2 0.230 0.694 0.460  -0.02
S3 0.268 0.303 0.535  0.00
S4 0.734 0.694 0.964  -0.02
S5 0.266 0.306 0.036  -0.02
S6 0.732 0.697 0.465  0.00
S7 0.770 0.306 0.540  -0.02
S8 0.770 0.306 0.036  -0.02


No. 6
KHf2ScTc | PBE | relaxed

Computed properties:
DFT total energy: -32.89 eV for the cell shown
Energy of formation: 0.96 eV per atom

abc: 4.972 5.789 4.972
angles: 90.00 90.00 90.00
Element x y z (fractional)
Sc1 0.500 0.500 0.500
K1 0.000 0.500 0.000
Hf1 0.000 0.000 0.500
Hf2 0.500 0.000 0.000
Tc1 0.000 0.000 0.000


Repeat the fifth record exactly.
Rb4Pm3NpS8 | PBE | relaxed

Computed properties:
Formation energy from raw total energies: -1.708 eV/atom
DFT total energy: -91.41 eV for the cell shown

abc: 8.373 9.090 8.373
angles: 117.43 120.00 90.00
Site moments in Bohr magnetons follow the coordinates.
Element x y z (fractional)
Rb1 0.500 0.000 0.000  0.00
Rb2 0.500 0.000 0.500  0.00
Rb3 0.000 0.000 0.000  0.00
Rb4 0.000 0.000 0.500  0.00
Pm1 0.500 0.500 0.000  0.03
Pm2 0.500 0.500 0.500  0.03
Pm3 0.000 0.500 0.500  0.03
Np1 0.000 0.500 0.000  3.81
S1 0.230 0.694 0.964  -0.02
S2 0.230 0.694 0.460  -0.02
S3 0.268 0.303 0.535  0.00
S4 0.734 0.694 0.964  -0.02
S5 0.266 0.306 0.036  -0.02
S6 0.732 0.697 0.465  0.00
S7 0.770 0.306 0.540  -0.02
S8 0.770 0.306 0.036  -0.02